# TaFeO4, optimized geometry, DFT GGA+U
# VASP energy   -8.488 eV/atom
# N(E_F)   0.000 states/eV/cell
data_TaFeO4
_chemical_formula_sum 'Ta2 Fe2 O8'
_cell_length_a 6.602
_cell_length_b 6.794
_cell_length_c 3.075
_cell_angle_alpha 90.00
_cell_angle_beta 90.00
_cell_angle_gamma 90.00
_symmetry_space_group_name_H-M 'C m m m'
_symmetry_Int_Tables_number 65
_symmetry_space_group_name_Hall '-C 2 2'
loop_
_atom_site_label
_atom_site_type_symbol
_atom_site_fract_x
_atom_site_fract_y
_atom_site_fract_z
Ta1 Ta 0.000 0.000 0.000
Fe1 Fe 0.000 0.500 0.500
O1 O 0.000 0.191 0.500
O2 O 0.199 0.500 0.000


# TaFeO4, optimized geometry, DFT GGA+U
# VASP energy   -8.516 eV/atom
# N(E_F)   0.000 states/eV/cell
data_TaFeO4
_chemical_formula_sum 'Ta2 Fe2 O8'
_cell_length_a 4.691
_cell_length_b 5.686
_cell_length_c 5.063
_cell_angle_alpha 90.00
_cell_angle_beta 90.10
_cell_angle_gamma 90.00
_symmetry_space_group_name_H-M 'P 1 2/c 1'
_symmetry_Int_Tables_number 13
loop_
_symmetry_equiv_pos_as_xyz
'x,y,z'
'-x,-y,-z'
'-x,y,-z+1/2'
'x,-y,z+1/2'
loop_
_atom_site_label
_atom_site_type_symbol
_atom_site_fract_x
_atom_site_fract_y
_atom_site_fract_z
Ta1 Ta 0.000 0.176 0.250
Fe1 Fe 0.500 0.338 0.750
O1 O 0.224 0.114 0.578
O2 O 0.269 0.383 0.085


# TaFeO2, optimized geometry, DFT GGA+U
# VASP energy   -8.216 eV/atom
# N(E_F)   5.900 states/eV/cell
data_TaFeO2
_chemical_formula_sum 'Ta3 Fe3 O6'
_cell_length_a 2.8853
_cell_length_b 2.8853
_cell_length_c 20.0774
_cell_angle_alpha 90.00
_cell_angle_beta 90.00
_cell_angle_gamma 120.00
_symmetry_space_group_name_H-M 'R -3 m'
_symmetry_Int_Tables_number 166
_symmetry_space_group_name_Hall '-R 3 2"'
loop_
_atom_site_label
_atom_site_type_symbol
_atom_site_fract_x
_atom_site_fract_y
_atom_site_fract_z
Ta1 Ta 0.0000 0.0000 0.0000
Fe1 Fe 0.0000 0.0000 0.5000
O1 O 0.0000 0.0000 0.4019


# Ta2Fe2O, optimized geometry, DFT GGA+U
# VASP energy   -6.855 eV/atom
# N(E_F)   7.092 states/eV/cell
data_Ta2Fe2O
_chemical_formula_sum 'Ta4 Fe4 O2'
_cell_length_a 3.577
_cell_length_b 3.577
_cell_length_c 14.181
_cell_angle_alpha 90.00
_cell_angle_beta 90.00
_cell_angle_gamma 90.00
_symmetry_space_group_name_H-M 'I 4/m m m'
_symmetry_Int_Tables_number 139
_symmetry_space_group_name_Hall '-I 4 2'
loop_
_atom_site_label
_atom_site_type_symbol
_atom_site_fract_x
_atom_site_fract_y
_atom_site_fract_z
Ta1 Ta 0.000 0.500 0.250
Fe1 Fe 0.000 0.000 0.090
O1 O 0.000 0.000 0.500